1.
The following is a DFT calculation (PBE) of a geometry-optimized PrB4Os4 structure.

Cell and atoms, written as CIF:
```
data_PrB4Os4
_chemical_formula_sum 'Pr2 B8 Os8'
_cell_length_a 7.645
_cell_length_b 7.645
_cell_length_c 4.008
_cell_angle_alpha 90.00
_cell_angle_beta 90.00
_cell_angle_gamma 90.00
_space_group_name_H-M_alt 'P 42/n'
_space_group_IT_number 86
loop_
_space_group_symop_operation_xyz
'x,y,z'
'-x,-y,-z'
'-y,x+1/2,z+1/2'
'y,-x+1/2,-z+1/2'
'-x+1/2,-y+1/2,z'
'x+1/2,y+1/2,-z'
'y+1/2,-x,z+1/2'
'-y+1/2,x,-z+1/2'
loop_
_atom_site_label
_atom_site_type_symbol
_atom_site_fract_x
_atom_site_fract_y
_atom_site_fract_z
_atom_site_occupancy
Pr1 Pr 0.250 0.250 0.250 1
B1 B 0.031 0.915 0.140 1
Os1 Os 0.104 0.644 0.139 1
```

Results
Mass density in g/cm³: 13.400
D(E_F) in states/eV per atom: 0.73
ΔE_f in meV/atom: -375
Energy in eV/atom: -8.865



2.
The following is a DFT calculation (PBE) of a geometry-optimized CuTcTe2 structure.

Cell and atoms, written as CIF:
```
data_CuTcTe2
_chemical_formula_sum 'Cu3 Tc3 Te6'
_cell_length_a 3.4962
_cell_length_b 3.4962
_cell_length_c 22.8395
_cell_angle_alpha 90.00
_cell_angle_beta 90.00
_cell_angle_gamma 120.00
_space_group_name_H-M_alt 'R -3 m'
_space_group_IT_number 166
_space_group_name_Hall '-R 3 2"'
loop_
_atom_site_label
_atom_site_type_symbol
_atom_site_fract_x
_atom_site_fract_y
_atom_site_fract_z
_atom_site_occupancy
Cu1 Cu 0.0000 0.0000 0.0000 1
Tc1 Tc 0.0000 0.0000 0.5000 1
Te1 Te 0.0000 0.0000 0.2487 1
```

Results
Mass density in g/cm³: 8.587
D(E_F) in states/eV per atom: 0.96
Energy in eV/atom: -4.968
Energy relative to the lowest polymorph listed for this composition in meV per atom: 82
Raw formation energy in meV/atom: 218.8



3.
The following is a DFT calculation (PBE) of a geometry-optimized La5Mg41 structure.

Cell and atoms, written as CIF:
```
data_La5Mg41
_chemical_formula_sum 'La10 Mg82'
_cell_length_a 14.789
_cell_length_b 14.789
_cell_length_c 10.457
_cell_angle_alpha 90.00
_cell_angle_beta 90.00
_cell_angle_gamma 90.00
_space_group_name_H-M_alt 'I 4/m'
_space_group_IT_number 87
_space_group_name_Hall '-I 4'
loop_
_atom_site_label
_atom_site_type_symbol
_atom_site_fract_x
_atom_site_fract_y
_atom_site_fract_z
_atom_site_occupancy
La1 La 0.000 0.000 0.000 1
La2 La 0.071 0.738 0.500 1
Mg1 Mg 0.000 0.000 0.500 1
Mg2 Mg 0.011 0.597 0.000 1
Mg3 Mg 0.061 0.772 0.146 1
Mg4 Mg 0.077 0.136 0.308 1
Mg5 Mg 0.077 0.368 0.257 1
Mg6 Mg 0.122 0.221 0.000 1
Mg7 Mg 0.160 0.284 0.500 1
Mg8 Mg 0.250 0.250 0.250 1
```

Results
Mass density in g/cm³: 2.456
D(E_F) in states/eV per atom: 0.45
ΔE_f in meV/atom: -76
Energy in eV/atom: -2.033



4.
The following is a DFT calculation (PBE) of a geometry-optimized Sm2ZrScAs4 structure.

Cell and atoms, written as CIF:
```
data_Sm2ZrScAs4
_chemical_formula_sum 'Sm2 Zr1 Sc1 As4'
_cell_length_a 6.980
_cell_length_b 4.035
_cell_length_c 7.003
_cell_angle_alpha 90.00
_cell_angle_beta 109.36
_cell_angle_gamma 90.00
_space_group_name_H-M_alt 'P 1 2/m 1'
_space_group_IT_number 10
loop_
_space_group_symop_operation_xyz
'x,y,z'
'-x,-y,-z'
'-x,y,-z'
'x,-y,z'
loop_
_atom_site_label
_atom_site_type_symbol
_atom_site_fract_x
_atom_site_fract_y
_atom_site_fract_z
_atom_site_occupancy
Sm1 Sm 0.000 0.000 0.000 1
Sm2 Sm 0.500 0.500 0.000 1
Zr1 Zr 0.000 0.500 0.500 1
Sc1 Sc 0.500 0.000 0.500 1
As1 As 0.244 0.000 0.730 1
As2 As 0.257 0.500 0.271 1
```

Results
Mass density in g/cm³: 6.572
D(E_F) in states/eV per atom: 0.18
ΔE_f in meV/atom: -1388
Energy in eV/atom: -6.752



5.
The following is a DFT calculation (PBE) of a geometry-optimized AlPdO2 structure.

Cell and atoms, written as CIF:
```
data_AlPdO2
_chemical_formula_sum 'Al2 Pd2 O4'
_cell_length_a 5.962
_cell_length_b 2.835
_cell_length_c 5.151
_cell_angle_alpha 90.00
_cell_angle_beta 98.37
_cell_angle_gamma 90.00
_space_group_name_H-M_alt 'P 1 2/c 1'
_space_group_IT_number 13
loop_
_space_group_symop_operation_xyz
'x,y,z'
'-x,-y,-z'
'-x,y,-z+1/2'
'x,-y,z+1/2'
loop_
_atom_site_label
_atom_site_type_symbol
_atom_site_fract_x
_atom_site_fract_y
_atom_site_fract_z
_atom_site_occupancy
Al1 Al 0.000 0.242 0.250 1
Pd1 Pd 0.500 0.500 0.000 1
O1 O 0.163 0.265 0.945 1
```

Results
Mass density in g/cm³: 6.378
D(E_F) in states/eV per atom: 0.23
Energy in eV/atom: -6.567
Raw formation energy in meV/atom: -1854.3



6.
The following is a DFT calculation (PBE) of a geometry-optimized ZnCrW2 structure.

Cell and atoms, written as CIF:
```
data_ZnCrW2
_chemical_formula_sum 'Zn1 Cr1 W2'
_cell_length_a 2.609
_cell_length_b 4.186
_cell_length_c 5.425
_cell_angle_alpha 90.00
_cell_angle_beta 90.00
_cell_angle_gamma 90.00
_space_group_name_H-M_alt 'P m m 2'
_space_group_IT_number 25
loop_
_space_group_symop_operation_xyz
'x,y,z'
'-x,-y,z'
'-x,y,z'
'x,-y,z'
loop_
_atom_site_label
_atom_site_type_symbol
_atom_site_fract_x
_atom_site_fract_y
_atom_site_fract_z
_atom_site_occupancy
Zn1 Zn 0.000 0.000 0.000 1
Cr1 Cr 0.500 0.500 0.232 1
W1 W 0.000 0.000 0.487 1
W2 W 0.500 0.500 0.751 1
```

Results
Mass density in g/cm³: 13.595
D(E_F) in states/eV per atom: 0.66
ΔE_f in meV/atom: 369
Energy in eV/atom: -8.832



7.
The following is a DFT calculation (PBE) of a geometry-optimized BaNbTe2 structure.

Cell and atoms, written as CIF:
```
data_BaNbTe2
_chemical_formula_sum 'Ba4 Nb4 Te8'
_cell_length_a 7.024
_cell_length_b 7.024
_cell_length_c 14.296
_cell_angle_alpha 90.00
_cell_angle_beta 90.00
_cell_angle_gamma 90.00
_space_group_name_H-M_alt 'I -4 2 d'
_space_group_IT_number 122
_space_group_name_Hall 'I -4 2bw'
loop_
_atom_site_label
_atom_site_type_symbol
_atom_site_fract_x
_atom_site_fract_y
_atom_site_fract_z
_atom_site_occupancy
Ba1 Ba 0.000 0.000 0.000 1
Nb1 Nb 0.000 0.000 0.500 1
Te1 Te 0.173 0.250 0.625 1
```

Results
Mass density in g/cm³: 4.572
D(E_F) in states/eV per atom: 0.53
Energy in eV/atom: -4.989
Energy relative to the lowest polymorph listed for this composition in meV per atom: 122
Raw formation energy in meV/atom: -419.7



8.
The following is a DFT calculation (PBE) of a geometry-optimized La4TlIn structure.

Cell and atoms, written as CIF:
```
data_La4TlIn
_chemical_formula_sum 'La16 Tl4 In4'
_cell_length_a 9.256
_cell_length_b 9.256
_cell_length_c 9.256
_cell_angle_alpha 90.00
_cell_angle_beta 90.00
_cell_angle_gamma 90.00
_space_group_name_H-M_alt 'F -4 3 m'
_space_group_IT_number 216
_space_group_name_Hall 'F -4 2 3'
loop_
_atom_site_label
_atom_site_type_symbol
_atom_site_fract_x
_atom_site_fract_y
_atom_site_fract_z
_atom_site_occupancy
La1 La 0.124 0.124 0.376 1
Tl1 Tl 0.000 0.000 0.000 1
In1 In 0.250 0.250 0.750 1
```

Results
Mass density in g/cm³: 7.328
D(E_F) in states/eV per atom: 1.60
ΔE_f in meV/atom: 82
Energy in eV/atom: -4.054
Energy relative to the lowest polymorph listed for this composition in meV per atom: 381



9.
The following is a DFT calculation (PBE) of a geometry-optimized Tb7Mg structure.

Cell and atoms, written as CIF:
```
data_Tb7Mg
_chemical_formula_sum 'Tb28 Mg4'
_cell_length_a 9.949
_cell_length_b 9.949
_cell_length_c 9.949
_cell_angle_alpha 90.00
_cell_angle_beta 90.00
_cell_angle_gamma 90.00
_space_group_name_H-M_alt 'F m -3 m'
_space_group_IT_number 225
_space_group_name_Hall '-F 4 2 3'
loop_
_atom_site_label
_atom_site_type_symbol
_atom_site_fract_x
_atom_site_fract_y
_atom_site_fract_z
_atom_site_occupancy
Tb1 Tb 0.000 0.000 0.000 1
Tb2 Tb 0.000 0.250 0.250 1
Mg1 Mg 0.000 0.000 0.500 1
```

Results
Mass density in g/cm³: 7.666
D(E_F) in states/eV per atom: 0.90
ΔE_f in meV/atom: 15
Energy in eV/atom: -4.236



10.
The following is a DFT calculation (PBE) of a geometry-optimized Cs2RbNa structure.

Cell and atoms, written as CIF:
```
data_Cs2RbNa
_chemical_formula_sum 'Cs8 Rb4 Na4'
_cell_length_a 12.429
_cell_length_b 12.429
_cell_length_c 9.366
_cell_angle_alpha 90.00
_cell_angle_beta 90.00
_cell_angle_gamma 90.00
_space_group_name_H-M_alt 'I -4 2 d'
_space_group_IT_number 122
_space_group_name_Hall 'I -4 2bw'
loop_
_atom_site_label
_atom_site_type_symbol
_atom_site_fract_x
_atom_site_fract_y
_atom_site_fract_z
_atom_site_occupancy
Cs1 Cs 0.210 0.250 0.125 1
Rb1 Rb 0.000 0.000 0.500 1
Na1 Na 0.000 0.000 0.000 1
```

Results
Mass density in g/cm³: 1.718
D(E_F) in states/eV per atom: 0.71
ΔE_f in meV/atom: 74
Energy in eV/atom: -0.924
Energy relative to the lowest polymorph listed for this composition in meV per atom: 64



Repeat the seventh record exactly.
The following is a DFT calculation (PBE) of a geometry-optimized BaNbTe2 structure.

Cell and atoms, written as CIF:
```
data_BaNbTe2
_chemical_formula_sum 'Ba4 Nb4 Te8'
_cell_length_a 7.024
_cell_length_b 7.024
_cell_length_c 14.296
_cell_angle_alpha 90.00
_cell_angle_beta 90.00
_cell_angle_gamma 90.00
_space_group_name_H-M_alt 'I -4 2 d'
_space_group_IT_number 122
_space_group_name_Hall 'I -4 2bw'
loop_
_atom_site_label
_atom_site_type_symbol
_atom_site_fract_x
_atom_site_fract_y
_atom_site_fract_z
_atom_site_occupancy
Ba1 Ba 0.000 0.000 0.000 1
Nb1 Nb 0.000 0.000 0.500 1
Te1 Te 0.173 0.250 0.625 1
```

Results
Mass density in g/cm³: 4.572
D(E_F) in states/eV per atom: 0.53
Energy in eV/atom: -4.989
Energy relative to the lowest polymorph listed for this composition in meV per atom: 122
Raw formation energy in meV/atom: -419.7